Below is NdIO after structural relaxation, with properties calculated at the GGA-PBEsol level.

Cell: 4.0186 4.0186 11.1843 Å, 79.65 79.65 60.00°
Closest atoms and distances in Å follow each position.
Fractional coordinates of all 6 atoms:
O (0.3603, 0.3603, 0.9191)  4 Nd 2.35-2.39
O (0.6397, 0.6397, 0.0809)  4 Nd 2.35-2.39
I (0.8881, 0.8881, 0.3357)  3 Nd 3.21
I (0.1119, 0.1119, 0.6643)  3 Nd 3.21
Nd (0.7112, 0.7112, 0.8664)  4 O 2.35-2.39
Nd (0.2888, 0.2888, 0.1336)  4 O 2.35-2.39

## Properties
- DOS at the Fermi energy (states/eV per atom) = 0.000
- magnetization (μB/atom) = 0.00
- total energy (eV per cell) = -40.1
- ΔE_f (raw) (meV per atom) = -2615

Below is Sc2CoBr after structural relaxation, with properties calculated at the GGA-PBEsol level.

Cell: 3.1003 4.7073 4.7073 Å, 90.00 90.00 90.00°
Closest atoms and distances in Å follow each position.
Fractional coordinates of all 4 atoms:
Sc (0.0000, 0.5000, 0.0000)  4 Br 2.82, 4 Co 2.82, 2 Sc 3.10
Sc (0.0000, 0.0000, 0.5000)  4 Br 2.82, 4 Co 2.82, 2 Sc 3.10
Co (0.5000, 0.0000, 0.0000)  8 Sc 2.82, 2 Co 3.10
Br (0.5000, 0.5000, 0.5000)  8 Sc 2.82, 2 Br 3.10

## Properties
- E above lowest polymorph (meV/atom) = 98
- DOS at the Fermi energy (states/eV per atom) = 0.983
- magnetization (μB/atom) = 0.00
- total energy (eV per cell) = -24.0
- ΔE_f (raw) (meV per atom) = -291

Below is TaAgNF2 after structural relaxation, with properties calculated at the GGA-PBEsol level.

Cell: 4.0017 4.0017 4.2884 Å, 90.00 90.00 90.00°
Closest atoms and distances in Å follow each position.
Fractional coordinates of all 5 atoms:
Ag (0.0000, 0.0000, 0.0000)  4 F 2.00, 2 N 2.14
N (0.0000, 0.0000, 0.5000)  2 Ag 2.14
Ta (0.5000, 0.5000, 0.5000)  4 N 2.83, 8 F 2.93
F (0.0000, 0.5000, 0.0000)  2 Ag 2.00
F (0.5000, 0.0000, 0.0000)  2 Ag 2.00

## Properties
- DOS at the Fermi energy (states/eV per atom) = 1.011
- magnetization (μB/atom) = 0.43
- total energy (eV per cell) = -25.1
- ΔE_f (raw) (meV per atom) = 621

Below is HfNi2Mo after structural relaxation, with properties calculated at the GGA-PBEsol level.

Cell: 4.3015 4.3015 4.3015 Å, 60.00 60.00 60.00°
Closest atoms and distances in Å follow each position.
Fractional coordinates of all 4 atoms:
Ni (0.2500, 0.2500, 0.2500)  4 Hf 2.63, 4 Mo 2.63
Ni (0.7500, 0.7500, 0.7500)  4 Mo 2.63, 4 Hf 2.63
Hf (0.5000, 0.5000, 0.5000)  8 Ni 2.63
Mo (0.0000, 0.0000, 0.0000)  8 Ni 2.63

## Properties
- ΔE_f (kJ/mol of atoms) = -4.80
- DOS at the Fermi energy (states/eV per atom) = 1.471
- magnetization (μB/atom) = 0.00
- total energy (eV per cell) = -34.8

Below is YIn after structural relaxation, with properties calculated at the GGA-PBEsol level.

Cell: 4.8703 6.3633 6.4663 Å, 119.86 112.12 90.00°
Closest atoms and distances in Å follow each position.
Fractional coordinates of all 6 atoms:
Y (0.7074, 0.9258, 0.4149)  4 In 3.02-3.23
Y (0.0148, 0.5206, 0.0296)  4 In 3.03-3.23
Y (0.3607, 0.7202, 0.7213)  6 In 3.18-3.22
In (0.3617, 0.2210, 0.7235)  6 Y 3.02-3.18, 2 In 3.26-3.28
In (0.0499, 0.0508, 0.0998)  3 In 3.07-3.28, 6 Y 3.17-3.43
In (0.6721, 0.3950, 0.3442)  3 In 3.07-3.26, 6 Y 3.17-3.43

## Properties
- ΔE_f (kJ/mol of atoms) = -43.91
- DOS at the Fermi energy (states/eV per atom) = 0.784
- magnetization (μB/atom) = 0.00
- total energy (eV per cell) = -32.1

Below is Na5H7Se4O18 after structural relaxation, with properties calculated at the GGA-PBEsol level.

Cell: 7.1018 11.1225 11.1225 Å, 72.47 81.05 81.05°
Closest atoms and distances in Å follow each position.
Fractional coordinates of all 68 atoms:
O (0.9078, 0.3578, 0.7267)  1 Se 1.66, 1 H 1.80
O (0.2635, 0.8516, 0.8555)  1 Se 1.64
O (0.7314, 0.1486, 0.1449)  1 Se 1.64
O (0.8639, 0.4585, 0.4250)  1 H 1.22
O (0.8982, 0.5834, 0.7717)  1 H 1.41
O (0.3639, 0.4250, 0.4585)  1 H 1.22
O (0.9912, 0.1094, 0.8719)  2 H 0.99-1.00
O (0.6299, 0.5754, 0.5421)  1 H 1.20
O (0.7716, 0.5940, 0.1908)  1 Se 1.64
O (0.1425, 0.6142, 0.9728)  1 Se 1.64
O (0.2716, 0.1908, 0.5940)  1 Se 1.64
O (0.4078, 0.7267, 0.3578)  1 Se 1.66, 1 H 1.80
O (0.2234, 0.4064, 0.8094)  1 Se 1.64
O (0.0044, 0.8906, 0.1283)  2 H 0.99-1.00
O (0.7234, 0.8094, 0.4064)  1 Se 1.64
O (0.9720, 0.0273, 0.6684)  1 Se 1.66, 1 H 1.72
O (0.5315, 0.3591, 0.2004)  1 H 1.08
O (0.3525, 0.0277, 0.3859)  1 Se 1.64
O (0.0315, 0.2004, 0.3591)  1 H 1.08
O (0.1299, 0.5421, 0.5754)  1 H 1.20
O (0.4720, 0.6684, 0.0273)  1 Se 1.66, 1 H 1.72
O (0.0231, 0.9730, 0.3318)  1 Se 1.66, 1 H 1.72
O (0.8525, 0.3859, 0.0277)  1 Se 1.64
O (0.5231, 0.3318, 0.9730)  1 Se 1.66, 1 H 1.72
O (0.0963, 0.4168, 0.2288)  1 H 1.40
O (0.3982, 0.7717, 0.5834)  1 H 1.41
O (0.7635, 0.8555, 0.8516)  1 Se 1.64
O (0.6425, 0.9728, 0.6142)  1 Se 1.64
O (0.4632, 0.6412, 0.8000)  1 H 1.07
O (0.9632, 0.8000, 0.6412)  1 H 1.07
O (0.5963, 0.2288, 0.4168)  1 H 1.40
O (0.4912, 0.8719, 0.1094)  2 H 0.99-1.00
O (0.5870, 0.2738, 0.6423)  1 Se 1.66, 1 H 1.80
O (0.2314, 0.1449, 0.1486)  1 Se 1.64
O (0.5044, 0.1283, 0.8906)  2 H 0.99-1.00
O (0.0870, 0.6423, 0.2738)  1 Se 1.66, 1 H 1.80
H (0.9704, 0.2025, 0.8318)  1 O 0.99
H (0.2463, 0.4767, 0.5244)  2 O 1.20-1.22
H (0.7463, 0.5244, 0.4767)  2 O 1.20-1.22
H (0.5252, 0.1684, 0.7976)  1 O 0.99
H (0.5608, 0.3004, 0.2934)  1 O 1.08
H (0.0016, 0.9275, 0.2000)  1 O 1.00
H (0.4940, 0.8001, 0.0726)  1 O 1.00
H (0.9940, 0.0726, 0.8001)  1 O 1.00
H (0.9339, 0.7071, 0.6998)  1 O 1.07
H (0.5016, 0.2000, 0.9275)  1 O 1.00
H (0.0608, 0.2934, 0.3004)  1 O 1.08
H (0.4339, 0.6998, 0.7071)  1 O 1.07
H (0.0252, 0.7976, 0.1684)  1 O 0.99
H (0.4704, 0.8318, 0.2025)  1 O 0.99
Na (0.2478, 0.0101, 0.9899)  6 O 2.35-2.62
Na (0.7478, 0.9899, 0.0101)  6 O 2.35-2.62
Na (0.8086, 0.6264, 0.9688)  6 O 2.35-2.54
Na (0.9307, 0.2478, 0.5609)  6 O 2.38-2.48
Na (0.6865, 0.0317, 0.3739)  6 O 2.35-2.53
Na (0.5642, 0.4392, 0.7528)  6 O 2.37-2.48
Na (0.4307, 0.5609, 0.2478)  6 O 2.38-2.48
Na (0.3086, 0.9688, 0.6264)  6 O 2.35-2.54
Na (0.1865, 0.3739, 0.0317)  6 O 2.35-2.53
Na (0.0642, 0.7528, 0.4392)  6 O 2.37-2.48
Se (0.0420, 0.4672, 0.7265)  4 O 1.64-1.70
Se (0.1719, 0.0828, 0.3011)  4 O 1.64-1.74
Se (0.6719, 0.3011, 0.0828)  4 O 1.64-1.74
Se (0.3229, 0.6991, 0.9177)  4 O 1.64-1.74
Se (0.9525, 0.5330, 0.2742)  4 O 1.64-1.70
Se (0.4525, 0.2742, 0.5330)  4 O 1.64-1.70
Se (0.8229, 0.9177, 0.6991)  4 O 1.64-1.74
Se (0.5420, 0.7265, 0.4672)  4 O 1.64-1.70

## Properties
- DOS at the Fermi energy (states/eV per atom) = 0.000
- magnetization (μB/atom) = 0.00
- total energy (eV per cell) = -356.7

Below is TlCdPb2 after structural relaxation, with properties calculated at the GGA-PBEsol level.

Cell: 3.4258 3.4258 10.9364 Å, 80.99 80.99 60.00°
Closest atoms and distances in Å follow each position.
Fractional coordinates of all 4 atoms:
Pb (0.7449, 0.7449, 0.7653)  3 Cd 3.21, 6 Pb 3.43, 3 Tl 3.47
Pb (0.2551, 0.2551, 0.2347)  3 Cd 3.21, 6 Pb 3.43, 3 Tl 3.47
Tl (0.5000, 0.5000, 0.5000)  6 Tl 3.43, 6 Pb 3.47
Cd (0.0000, 0.0000, 0.0000)  6 Pb 3.21, 6 Cd 3.43

## Properties
- ΔE_f (kJ/mol of atoms) = 3.12
- E above lowest polymorph (meV/atom) = 5
- DOS at the Fermi energy (states/eV per atom) = 0.387
- magnetization (μB/atom) = 0.00
- total energy (eV per cell) = -11.7

Below is YBe2I after structural relaxation, with properties calculated at the GGA-PBEsol level.

Cell: 4.7763 4.7763 4.7763 Å, 60.00 60.00 60.00°
Closest atoms and distances in Å follow each position.
Fractional coordinates of all 4 atoms:
Be (0.7500, 0.7500, 0.7500)  4 I 2.92, 4 Y 2.92
Be (0.2500, 0.2500, 0.2500)  4 I 2.92, 4 Y 2.92
Y (0.0000, 0.0000, 0.0000)  8 Be 2.92
I (0.5000, 0.5000, 0.5000)  8 Be 2.92

## Properties
- DOS at the Fermi energy (states/eV per atom) = 0.746
- magnetization (μB/atom) = 0.00
- total energy (eV per cell) = -13.6
- ΔE_f (raw) (meV per atom) = 756

Below is TaMo after structural relaxation, with properties calculated at the GGA-PBEsol level.

Cell: 4.5103 5.5328 5.5328 Å, 109.09 90.00 90.00°
Closest atoms and distances in Å follow each position.
Fractional coordinates of all 8 atoms:
Mo (0.5000, 0.5047, 0.2533)  4 Mo 2.74-2.79, 4 Ta 2.76-2.77
Mo (0.5000, 0.4953, 0.7467)  4 Mo 2.74-2.79, 4 Ta 2.76-2.77
Mo (0.0000, 0.7467, 0.4953)  4 Mo 2.74-2.79, 4 Ta 2.76-2.77
Mo (0.0000, 0.2533, 0.5047)  4 Mo 2.74-2.79, 4 Ta 2.76-2.77
Ta (0.5000, 0.0056, 0.2533)  4 Ta 2.75-2.80, 4 Mo 2.76-2.77
Ta (0.0000, 0.2533, 0.0056)  4 Ta 2.75-2.80, 4 Mo 2.76-2.77
Ta (0.0000, 0.7467, 0.9944)  4 Ta 2.75-2.80, 4 Mo 2.76-2.77
Ta (0.5000, 0.9944, 0.7467)  4 Ta 2.75-2.80, 4 Mo 2.76-2.77

## Properties
- ΔE_f (kJ/mol of atoms) = -10.03
- DOS at the Fermi energy (states/eV per atom) = 0.645
- magnetization (μB/atom) = 0.00
- total energy (eV per cell) = -98.1

Below is Ag2Rh3 after structural relaxation, with properties calculated at the GGA-PBEsol level.

Cell: 2.7180 3.9097 7.2750 Å, 105.59 100.77 90.00°
Closest atoms and distances in Å follow each position.
Fractional coordinates of all 5 atoms:
Rh (0.5000, 0.5000, 0.0000)  4 Rh 2.72-2.81, 8 Ag 2.75
Rh (0.7047, 0.7047, 0.4095)  7 Rh 2.69-2.81, 5 Ag 2.69-2.78
Rh (0.2953, 0.2953, 0.5905)  7 Rh 2.69-2.81, 5 Ag 2.69-2.78
Ag (0.9003, 0.9003, 0.8007)  9 Rh 2.69-2.78, 3 Ag 2.72-2.74
Ag (0.0997, 0.0997, 0.1993)  9 Rh 2.69-2.78, 3 Ag 2.72-2.74

## Properties
- ΔE_f (kJ/mol of atoms) = 29.61
- E above lowest polymorph (meV/atom) = 52
- DOS at the Fermi energy (states/eV per atom) = 1.613
- magnetization (μB/atom) = 0.02
- total energy (eV per cell) = -29.5

Below is RbDy2CuSe4 after structural relaxation, with properties calculated at the GGA-PBEsol level.

Cell: 4.0630 7.3262 14.1561 Å, 90.00 90.00 106.10°
Closest atoms and distances in Å follow each position.
Fractional coordinates of all 16 atoms:
Dy (0.6341, 0.2682, 0.4363)  6 Se 2.79-2.92
Dy (0.3659, 0.7318, 0.9363)  6 Se 2.79-2.92
Dy (0.6341, 0.2682, 0.0637)  6 Se 2.79-2.92
Dy (0.3659, 0.7318, 0.5637)  6 Se 2.79-2.92
Se (0.5689, 0.1378, 0.2500)  2 Cu 2.43
Se (0.4311, 0.8622, 0.7500)  2 Cu 2.43
Se (0.7369, 0.4737, 0.8896)  1 Cu 2.43
Se (0.0000, 0.0000, 0.5000)  4 Dy 2.92
Se (0.7369, 0.4737, 0.6104)  1 Cu 2.43
Se (0.2631, 0.5263, 0.1104)  1 Cu 2.43
Se (0.0000, 0.0000, 0.0000)  4 Dy 2.92
Se (0.2631, 0.5263, 0.3896)  1 Cu 2.43
Cu (0.1630, 0.3259, 0.2500)  4 Se 2.43
Cu (0.8370, 0.6741, 0.7500)  4 Se 2.43
Rb (0.1103, 0.2205, 0.7500)  6 Se 3.24-3.35
Rb (0.8897, 0.7795, 0.2500)  6 Se 3.24-3.35

## Properties
- magnetization (μB/atom) = 0.00
- total energy (eV per cell) = -85.5
- ΔE_f (raw) (meV per atom) = -1505

Below is Y3CoSb after structural relaxation, with properties calculated at the GGA-PBEsol level.

Cell: 5.0408 5.0408 5.0408 Å, 90.00 90.00 90.00°
Closest atoms and distances in Å follow each position.
Fractional coordinates of all 5 atoms:
Y (0.0000, 0.0000, 0.5000)  2 Co 2.52
Y (0.0000, 0.5000, 0.0000)  2 Co 2.52
Y (0.5000, 0.0000, 0.0000)  2 Co 2.52
Co (0.0000, 0.0000, 0.0000)  6 Y 2.52
Sb (0.5000, 0.5000, 0.5000)  12 Y 3.56

## Properties
- DOS at the Fermi energy (states/eV per atom) = 1.028
- magnetization (μB/atom) = 0.00
- total energy (eV per cell) = -34.8
- ΔE_f (raw) (meV per atom) = -404

Q: What is the formula in the second record?
A: Sc2CoBr